DFT (PBE) results for a relaxed structure of AgOsPt2.

Cell: 4.4781 4.4781 4.4781 Å, 60.00 60.00 60.00°
Last column: magnetic moment on the atom in μB.
Atoms (fractional coordinates):
Pt 0.0000 0.0000 0.0000  0.11
Pt 0.7500 0.7500 0.7500  0.09
Os 0.2500 0.2500 0.2500  0.92
Ag 0.5000 0.5000 0.5000  0.01

Summary:
energy above the most stable polymorph in this dataset: 476 meV/atom
E: -5.981 eV/atom
calculated formation energy: 12.904 kcal/mol of atoms
symmetry: F-43m (216)
Fermi-level density of states: 3.880 states/eV per cell

=====

DFT (PBE) results for a relaxed structure of Y2AgOsPt.

Cell: 5.4016 4.7282 5.4016 Å, 90.00 90.00 90.00°
Atoms (fractional coordinates):
Y 0.0000 0.0000 0.5000
Y 0.5000 0.0000 0.0000
Pt 0.0000 0.0000 0.0000
Ag 0.5000 0.5000 0.5000
Os 0.0000 0.5000 0.0000

Summary:
E: -6.280 eV/atom
calculated formation energy: 7.603 kcal/mol of atoms
symmetry: P4/mmm (123)
Fermi-level density of states: 4.348 states/eV per cell

=====

DFT (PBE) results for a relaxed structure of Zn2AgOsPt.

Cell: 4.7406 4.8332 4.7406 Å, 90.00 90.00 90.00°
Atoms (fractional coordinates):
Os 0.0000 0.5000 0.0000
Zn 0.0000 0.0000 0.5000
Zn 0.5000 0.0000 0.0000
Ag 0.5000 0.5000 0.5000
Pt 0.0000 0.0000 0.0000

Summary:
E: -3.598 eV/atom
calculated formation energy: 21.588 kcal/mol of atoms
symmetry: P4/mmm (123)
Fermi-level density of states: 4.158 states/eV per cell

=====

DFT (PBE) results for a relaxed structure of Pu3AgOs2.

Cell: 3.1746 3.1746 12.2973 Å, 90.00 90.00 90.00°
Last column: magnetic moment on the atom in μB.
Atoms (fractional coordinates):
Pu 0.0000 0.0000 0.6943  5.01
Pu 0.0000 0.0000 0.0000  -4.66
Pu 0.0000 0.0000 0.3057  5.01
Os 0.5000 0.5000 0.1581  -0.11
Os 0.5000 0.5000 0.8419  -0.11
Ag 0.5000 0.5000 0.5000  0.03

Summary:
E: -11.316 eV/atom
calculated formation energy: 1.581 kcal/mol of atoms
symmetry: P4/mmm (123)
Fermi-level density of states: 16.948 states/eV per cell